# SmCoIr, relaxed, DFT PBE
data_SmCoIr
_cell_length_a 9.1319
_cell_length_b 5.6412
_cell_length_c 4.7320
_cell_angle_alpha 90.00
_cell_angle_beta 114.59
_cell_angle_gamma 90.00
_symmetry_space_group_name_H-M 'C 1 2/m 1'
_symmetry_Int_Tables_number 12
_symmetry_space_group_name_Hall '-C 2y'
loop_
_atom_site_label
_atom_site_fract_x
_atom_site_fract_y
_atom_site_fract_z
Sm1 0.1308 0.0000 0.3752
Co1 0.0030 0.5000 0.7466
Ir1 0.2500 0.2500 0.0000
# - Formation energy: -0.41 eV/f.u.
# - DOS at the Fermi energy: 1.2216 states/eV/atom